# AsWBr2 (meta-GGA SCAN, PBEsol geometry)
# ΔE_f (raw) (eV/atom): 0.890
# DOS(E_F) (states/eV per cell): 2.7
data_AsWBr2
_chemical_formula_sum 'As1 W1 Br2'
_cell_length_a 3.017
_cell_length_b 3.017
_cell_length_c 8.859
_cell_angle_alpha 90.00
_cell_angle_beta 90.00
_cell_angle_gamma 90.00
_symmetry_space_group_name_H-M 'P 1'
_symmetry_Int_Tables_number 1
loop_
_symmetry_equiv_pos_as_xyz
'x,y,z'
loop_
_atom_site_label
_atom_site_fract_x
_atom_site_fract_y
_atom_site_fract_z
As1 0.000 0.000 0.000
W1 0.000 0.000 0.500
Br1 0.500 0.500 0.316
Br2 0.500 0.500 0.684

---

# SrMnAg2Bi (meta-GGA SCAN, PBEsol geometry)
# DOS(E_F) (states/eV per cell): 2.8
# ΔH_f (0 K) (eV/atom): 0.3074
data_SrMnAg2Bi
_chemical_formula_sum 'Sr1 Mn1 Ag2 Bi1'
_cell_length_a 5.362
_cell_length_b 5.362
_cell_length_c 5.063
_cell_angle_alpha 90.00
_cell_angle_beta 90.00
_cell_angle_gamma 90.00
_symmetry_space_group_name_H-M 'P 1'
_symmetry_Int_Tables_number 1
loop_
_symmetry_equiv_pos_as_xyz
'x,y,z'
loop_
_atom_site_label
_atom_site_fract_x
_atom_site_fract_y
_atom_site_fract_z
Sr1 0.000 0.000 0.000
Mn1 0.500 0.500 0.000
Ag1 0.000 0.500 0.500
Ag2 0.500 0.000 0.500
Bi1 0.500 0.500 0.500

---

# La5Mo4O16 (meta-GGA SCAN, PBEsol geometry)
# ΔE_f (raw) (eV/atom): -3.004
# DOS(E_F) (states/eV per cell): 5.2
data_La5Mo4O16
_chemical_formula_sum 'La5 Mo4 O16'
_cell_length_a 5.575
_cell_length_b 5.577
_cell_length_c 10.346
_cell_angle_alpha 93.55
_cell_angle_beta 93.31
_cell_angle_gamma 90.43
_symmetry_space_group_name_H-M 'P 1'
_symmetry_Int_Tables_number 1
loop_
_symmetry_equiv_pos_as_xyz
'x,y,z'
loop_
_atom_site_label
_atom_site_fract_x
_atom_site_fract_y
_atom_site_fract_z
La1 0.000 0.000 0.000
La2 0.026 0.517 0.709
La3 0.487 0.970 0.286
La4 0.513 0.030 0.714
La5 0.974 0.483 0.291
Mo1 0.000 0.000 0.500
Mo2 0.440 0.439 0.102
Mo3 0.500 0.500 0.500
Mo4 0.560 0.561 0.898
O1 0.083 0.083 0.678
O2 0.213 0.212 0.174
O3 0.225 0.702 0.142
O4 0.234 0.733 0.501
O5 0.259 0.229 0.455
O6 0.294 0.772 0.858
O7 0.309 0.303 0.934
O8 0.459 0.457 0.691
O9 0.541 0.543 0.309
O10 0.691 0.697 0.066
O11 0.706 0.228 0.142
O12 0.741 0.771 0.545
O13 0.766 0.267 0.499
O14 0.775 0.298 0.858
O15 0.787 0.788 0.826
O16 0.917 0.917 0.322

---

Record order is preserved below.
Energy: -31.310 -36.061 -21.194 eV per atom